Material: ZrCr2Fe
Method: DFT, PBE
State: optimized geometry

Computed properties:
Energy above the most stable polymorph in this dataset in meV per atom: 43
DFT formation energy in eV per atom: 0.18
SG: No. 216

POSCAR file:
```
ZrCr2Fe
1.0
0.000 3.034 3.034
3.034 0.000 3.034
3.034 3.034 0.000
Zr Cr Fe
1 2 1
direct
0.000 0.000 0.000
0.250 0.250 0.250
0.500 0.500 0.500
0.750 0.750 0.750
```

---

Material: PmAlTlCu
Method: DFT, PBE
State: optimized geometry

Computed properties:
DFT formation energy in eV per atom: -0.09
SG: No. 216

POSCAR file:
```
PmAlTlCu
1.0
0.000 3.529 3.529
3.529 0.000 3.529
3.529 3.529 0.000
Pm Al Tl Cu
1 1 1 1
direct
0.000 0.000 0.000
0.500 0.500 0.500
0.250 0.250 0.250
0.750 0.750 0.750
```

---

Material: BaHg2Pb
Method: DFT, PBE
State: optimized geometry

Computed properties:
Energy above the most stable polymorph in this dataset in meV per atom: 112
DFT formation energy in eV per atom: -0.32
SG: No. 44

POSCAR file:
```
BaHg2Pb
1.0
-2.206 2.467 6.193
2.206 -2.467 6.193
2.206 2.467 -6.193
Ba Hg Pb
1 2 1
direct
0.000 0.000 0.000
0.235 0.735 0.500
0.410 0.410 0.000
0.727 0.227 0.500
```

---

Material: LiAl2Ag
Method: DFT, PBE
State: optimized geometry

Computed properties:
Energy above the most stable polymorph in this dataset in meV per atom: 5
DFT formation energy in eV per atom: -0.13
SG: No. 25

POSCAR file:
```
LiAl2Ag
1.0
2.898 0.000 0.000
0.000 4.013 0.000
0.000 0.000 5.587
Li Al Ag
1 2 1
direct
0.000 0.000 0.000
0.000 0.000 0.501
0.500 0.500 0.751
0.500 0.500 0.243
```

---

Material: Tl3CoCu
Method: DFT, PBE
State: optimized geometry

Computed properties:
DFT formation energy in eV per atom: 0.50
SG: No. 221

POSCAR file:
```
Tl3CoCu
1.0
5.059 0.000 0.000
0.000 5.059 0.000
0.000 0.000 5.059
Tl Co Cu
3 1 1
direct
0.000 0.000 0.500
0.000 0.500 0.000
0.500 0.000 0.000
0.000 0.000 0.000
0.500 0.500 0.500
```

---

Material: CsK3RbAu
Method: DFT, PBE
State: optimized geometry

Computed properties:
DFT formation energy in eV per atom: -0.05
SG: No. 63

POSCAR file:
```
CsK3RbAu
1.0
5.613 -8.175 0.000
5.613 8.175 0.000
0.000 0.000 9.772
Cs K Rb Au
2 6 2 2
direct
0.243 0.757 0.750
0.757 0.243 0.250
0.307 0.307 0.000
0.307 0.307 0.500
0.333 0.667 0.250
0.667 0.333 0.750
0.693 0.693 0.000
0.693 0.693 0.500
0.072 0.928 0.250
0.928 0.072 0.750
0.462 0.538 0.750
0.538 0.462 0.250
```